[1]
A crystal of InHgBr relaxed with PBEsol. Source: the Alexandria database, functional meta-GGA SCAN.

## Properties
energy: -40.718 eV/atom
ΔE_f (raw): -0.381 eV/atom
energy above the most stable polymorph in this dataset: 26 meV per atom

Lattice parameters (Å, degrees): 6.491 6.491 6.491 146.30 146.30 48.41
Positions (direct):
In  0.000  0.000  0.000
Hg  0.669  0.669  0.000
Br  0.358  0.358  0.000


[2]
A crystal of BaZn2Si2O7 relaxed with PBEsol. Source: the Alexandria database, functional meta-GGA SCAN.

## Properties
energy: -13.532 eV/atom
ΔE_f (raw): -2.679 eV/atom

Lattice parameters (Å, degrees): 7.591 7.591 6.595 90.00 90.00 62.74
Positions (direct):
Ba  0.226  0.774  0.750
Ba  0.774  0.226  0.250
Zn  0.276  0.276  0.000
Zn  0.276  0.276  0.500
Zn  0.724  0.724  0.000
Zn  0.724  0.724  0.500
Si  0.086  0.676  0.250
Si  0.324  0.914  0.250
Si  0.676  0.086  0.750
Si  0.914  0.324  0.750
O  0.119  0.881  0.250
O  0.159  0.226  0.750
O  0.179  0.558  0.042
O  0.179  0.558  0.458
O  0.226  0.159  0.250
O  0.442  0.821  0.042
O  0.442  0.821  0.458
O  0.558  0.179  0.542
O  0.558  0.179  0.958
O  0.774  0.841  0.750
O  0.821  0.442  0.542
O  0.821  0.442  0.958
O  0.841  0.774  0.250
O  0.881  0.119  0.750


Look up the ΔE_f (raw) of the first one.
-0.381 eV/atom


What is the ΔE_f (raw) in the second record?
-2.679 eV/atom